No. 1
{
  "formula": "Ag4RuO5",
  "functional": "GGA-PBE",
  "state": "relaxed",
  "mass_density_g_cm3": 7.3,
  "space_group": "I4 (79)",
  "raw_formation_energy_ev_per_atom": -0.26,
  "lattice_angstrom": [[-4.0652, -0.1927, 3.5591], [-3.3285, -4.6751, 0.0515], [1.0431, -2.2488, 5.1762]],
  "species": ["O", "O", "O", "O", "O", "Ag", "Ag", "Ag", "Ag", "Ru"],
  "fractional_positions": [[0.8062, 0.3644, 0.9538], [0.1244, 0.6356, 0.0462], [0.7600, 0.0462, 0.3644], [0.3791, 0.0000, 0.0000], [0.1706, 0.9538, 0.6356], [0.5291, 0.3426, 0.7104], [0.5821, 0.6574, 0.2896], [0.8717, 0.7104, 0.6574], [0.2395, 0.2896, 0.3426], [0.0477, 0.0000, 0.0000]]
}

No. 2
{
  "formula": "Nd4Sm5Mg2",
  "functional": "GGA-PBE",
  "state": "relaxed",
  "e_form_kj_per_mol_atoms": 5.2,
  "mass_density_g_cm3": 6.3,
  "space_group": "C2/m (12)",
  "lattice_angstrom": [[-3.1172, -1.6336, -0.6566], [4.1082, -5.6373, -5.4782], [-0.3363, -1.1044, 14.1041]],
  "species": ["Nd", "Nd", "Nd", "Nd", "Mg", "Mg", "Sm", "Sm", "Sm", "Sm", "Sm"],
  "fractional_positions": [[0.7122, 0.6015, 0.4244], [0.0714, 0.4297, 0.1429], [0.9286, 0.5703, 0.8571], [0.2878, 0.3985, 0.5756], [0.5561, 0.7388, 0.1122], [0.4439, 0.2612, 0.8878], [0.1837, 0.8973, 0.3673], [0.8710, 0.8436, 0.7421], [0.8163, 0.1027, 0.6327], [0.1290, 0.1564, 0.2579], [0.5000, 0.0000, 0.0000]]
}

No. 3
{
  "formula": "BaPtSe",
  "functional": "GGA-PBE",
  "state": "relaxed",
  "mass_density_g_cm3": 7.2,
  "space_group": "P1 (1)",
  "raw_formation_energy_ev_per_atom": -1.09,
  "lattice_angstrom": [[-3.4058, -2.4662, -2.1259], [-0.8048, -7.6277, 0.9774], [-2.4730, 1.8762, 5.5610]],
  "species": ["Se", "Se", "Pt", "Pt", "Ba", "Ba"],
  "fractional_positions": [[0.0952, 0.1361, 0.1323], [0.3797, 0.6087, 0.6061], [0.9252, 0.6031, 0.7123], [0.1302, 0.9048, 0.3766], [0.7633, 0.6287, 0.1638], [0.5506, 0.1104, 0.7001]]
}

No. 4
{
  "formula": "NdGeSb",
  "functional": "GGA-PBE",
  "state": "relaxed",
  "mass_density_g_cm3": 7.0,
  "space_group": "P3m1 (156)",
  "raw_formation_energy_ev_per_atom": -0.50,
  "lattice_angstrom": [[4.0487, 0.0000, 0.0000], [0.0000, 4.8035, 0.0000], [0.0000, -2.4018, 4.1600]],
  "species": ["Ge", "Nd", "Sb"],
  "fractional_positions": [[0.8347, 0.0000, 0.0000], [0.3331, 0.3333, 0.6667], [0.8322, 0.6667, 0.3333]]
}

No. 5
{
  "formula": "RbOs",
  "functional": "GGA-PBE",
  "state": "relaxed",
  "e_form_kj_per_mol_atoms": 88.2,
  "mass_density_g_cm3": 7.2,
  "space_group": "Pmmn (59)",
  "lattice_angstrom": [[-1.5752, 2.3426, -0.6040], [-7.6431, -6.2305, -4.2320], [-5.4053, -0.8102, 10.9548]],
  "species": ["Os", "Os", "Os", "Os", "Os", "Os", "Rb", "Rb", "Rb", "Rb", "Rb", "Rb"],
  "fractional_positions": [[0.0000, 0.9690, 0.5000], [0.0000, 0.9690, 0.1667], [0.5000, 0.0310, 0.3333], [0.0000, 0.9690, 0.8333], [0.5000, 0.0310, 0.0000], [0.5000, 0.0310, 0.6667], [0.0000, 0.7198, 0.6667], [0.5000, 0.2802, 0.5000], [0.0000, 0.7198, 0.3333], [0.5000, 0.2802, 0.1667], [0.5000, 0.2802, 0.8333], [0.0000, 0.7198, 0.0000]]
}

No. 6
{
  "formula": "NaGaRe2Au",
  "functional": "GGA-PBE",
  "state": "relaxed",
  "e_form_kj_per_mol_atoms": 157.7,
  "mass_density_g_cm3": 10.4,
  "space_group": "P4/mmm (123)",
  "lattice_angstrom": [[4.6557, 0.0000, 0.0000], [0.0000, 4.8674, 0.0000], [0.0000, 0.0000, 4.6557]],
  "species": ["Au", "Re", "Re", "Ga", "Na"],
  "fractional_positions": [[0.0000, 0.5000, 0.0000], [0.0000, 0.0000, 0.5000], [0.5000, 0.0000, 0.0000], [0.0000, 0.0000, 0.0000], [0.5000, 0.5000, 0.5000]]
}

What did we get for magnetization? Answer: 0.00, 0.00, 0.00, 0.00, 0.00, 0.00 μB per atom, in the order shown.